VASP calculation (PBEsol) on a relaxed structure of Mg2MnIn.

Geometry as CIF:
```
data_Mg2MnIn
_chemical_formula_sum 'Mg2 Mn1 In1'
_cell_length_a 3.094
_cell_length_b 3.094
_cell_length_c 9.810
_cell_angle_alpha 80.93
_cell_angle_beta 80.93
_cell_angle_gamma 60.00
_symmetry_space_group_name_H-M 'P 1'
_symmetry_Int_Tables_number 1
loop_
_symmetry_equiv_pos_as_xyz
'x,y,z'
loop_
_atom_site_label
_atom_site_type_symbol
_atom_site_fract_x
_atom_site_fract_y
_atom_site_fract_z
In1 In 0.243 0.243 0.270
Mn1 Mn 0.500 0.500 0.499
Mg1 Mg 0.999 0.999 0.003
Mg2 Mg 0.758 0.758 0.727
```

Properties
Formation energy from the elements = 0.249 eV/atom
VASP energy = -3.80 eV/atom
Space-group type = R3m

---

VASP calculation (PBEsol) on a relaxed structure of MgMn2In.

Geometry as CIF:
```
data_MgMn2In
_chemical_formula_sum 'Mg1 Mn2 In1'
_cell_length_a 4.563
_cell_length_b 4.563
_cell_length_c 4.563
_cell_angle_alpha 60.00
_cell_angle_beta 60.00
_cell_angle_gamma 60.00
_symmetry_space_group_name_H-M 'P 1'
_symmetry_Int_Tables_number 1
loop_
_symmetry_equiv_pos_as_xyz
'x,y,z'
loop_
_atom_site_label
_atom_site_type_symbol
_atom_site_fract_x
_atom_site_fract_y
_atom_site_fract_z
Mn1 Mn 0.250 0.250 0.250
Mn2 Mn 0.000 0.000 0.000
In1 In 0.500 0.500 0.500
Mg1 Mg 0.750 0.750 0.750
```

Properties
Formation energy from the elements = 0.423 eV/atom
VASP energy = -5.63 eV/atom
Space-group type = F-43m

---

VASP calculation (PBEsol) on a relaxed structure of Mg2Mn3InS8.

Geometry as CIF:
```
data_Mg2Mn3InS8
_chemical_formula_sum 'Mg2 Mn3 In1 S8'
_cell_length_a 7.201
_cell_length_b 7.201
_cell_length_c 7.346
_cell_angle_alpha 90.12
_cell_angle_beta 119.27
_cell_angle_gamma 119.93
_symmetry_space_group_name_H-M 'P 1'
_symmetry_Int_Tables_number 1
loop_
_symmetry_equiv_pos_as_xyz
'x,y,z'
loop_
_atom_site_label
_atom_site_type_symbol
_atom_site_fract_x
_atom_site_fract_y
_atom_site_fract_z
Mn1 Mn 0.500 0.500 0.000
Mn2 Mn 0.000 0.500 0.000
S1 S 0.965 0.715 0.215
Mn3 Mn 0.500 0.000 0.000
S2 S 0.965 0.250 0.214
S3 S 0.500 0.750 0.785
S4 S 0.480 0.740 0.220
S5 S 0.035 0.750 0.786
In1 In 0.000 0.500 0.500
Mg1 Mg 0.252 0.126 0.378
S6 S 0.035 0.285 0.785
S7 S 0.520 0.260 0.780
S8 S 0.500 0.250 0.215
Mg2 Mg 0.748 0.874 0.622
```

Properties
VASP energy = -5.78 eV/atom
Uncorrected formation energy = -0.728 eV/atom
Space-group type = C2/m

---

VASP calculation (PBEsol) on a relaxed structure of Mg2MnIn3S8.

Geometry as CIF:
```
data_Mg2MnIn3S8
_chemical_formula_sum 'Mg2 Mn1 In3 S8'
_cell_length_a 7.461
_cell_length_b 7.461
_cell_length_c 7.461
_cell_angle_alpha 60.70
_cell_angle_beta 60.70
_cell_angle_gamma 60.70
_symmetry_space_group_name_H-M 'P 1'
_symmetry_Int_Tables_number 1
loop_
_symmetry_equiv_pos_as_xyz
'x,y,z'
loop_
_atom_site_label
_atom_site_type_symbol
_atom_site_fract_x
_atom_site_fract_y
_atom_site_fract_z
S1 S 0.269 0.723 0.269
In1 In 0.500 0.000 0.500
In2 In 0.500 0.500 0.000
S2 S 0.257 0.257 0.257
S3 S 0.723 0.269 0.269
S4 S 0.269 0.269 0.723
S5 S 0.743 0.743 0.743
S6 S 0.731 0.731 0.277
Mn1 Mn 0.500 0.500 0.500
In3 In 0.000 0.500 0.500
S7 S 0.731 0.277 0.731
Mg1 Mg 0.877 0.877 0.877
Mg2 Mg 0.123 0.123 0.123
S8 S 0.277 0.731 0.731
```

Properties
VASP energy = -4.88 eV/atom
Uncorrected formation energy = -0.790 eV/atom
Space-group type = R-3m

---

- Number 2 is which compound?
  MgMn2In

---

- Look up the VASP energy of the fourth one.
  -4.88 eV/atom